1.
First-principles (PBE) data for crystalline SrPr3Dy2Se6 at its relaxed geometry, as listed in Alexandria via LeMat-Bulk.

Its formation energy (no corrections) is -1829 meV per atom. The total energy comes out at -136.15 eV/cell.

The structure belongs to space group C2/m (No. 12); the cell edges are 7.254, 12.578 and 7.411 Å and the angles 90.00°, 109.02° and 90.00°. Symmetry generates all atoms from Sr at (0.000, 0.000, 0.000), Pr at (0.000, 0.160, 0.500), Pr at (0.000, 0.500, 0.500), Dy at (0.000, 0.333, 0.000), Se at (0.234, 0.500, 0.233) and Se at (0.248, 0.328, 0.759).

2.
First-principles (PBE) data for crystalline TbPrDy4Se8 at its relaxed geometry, as listed in Alexandria via LeMat-Bulk.

Its formation energy (no corrections) is -1716 meV per atom. The total energy comes out at -239.14 eV/cell.

The structure belongs to space group R3m (No. 160, hexagonal axes); the cell edges are 8.4778, 8.4778 and 20.7951 Å and the angles 90.00°, 90.00° and 120.00°. Symmetry generates all atoms from Tb at (0.0000, 0.0000, 0.0000), Pr at (0.0000, 0.0000, 0.3756), Dy at (0.0000, 0.0000, 0.6261), Dy at (0.0025, 0.5013, 0.5013), Se at (0.0000, 0.0000, 0.2393), Se at (0.0000, 0.0000, 0.7580), Se at (0.0296, 0.5148, 0.7552) and Se at (0.1755, 0.3510, 0.5815).

3.
First-principles (PBE) data for crystalline Tb2PrDySe4 at its relaxed geometry, as listed in Alexandria via LeMat-Bulk.

Its formation energy (no corrections) is -1778 meV per atom. The total energy comes out at -46.80 eV/cell.

The structure belongs to space group P2/m (No. 10); the cell edges are 7.150, 4.075 and 7.246 Å and the angles 90.00°, 108.75° and 90.00°. Symmetry generates all atoms from Tb at (0.000, 0.000, 0.000), Tb at (0.000, 0.500, 0.500), Pr at (0.500, 0.000, 0.500), Dy at (0.500, 0.500, 0.000), Se at (0.241, 0.500, 0.239) and Se at (0.247, 0.000, 0.756).